1.
Density functional theory data (GGA-PBEsol) for a geometry-optimized As2PbAu structure.

Summary:
M_tot: 0.0 μB/cell
Energy relative to the elements: -0.01 eV per atom

Cell lengths 3.9576, 4.7291, 5.0897 Å; angles 107.14, 90.00, 90.00 degrees
Atoms (fractional coordinates):
Au1 0.5000 0.0000 0.5000
Pb1 0.5000 0.5000 0.0000
As1 0.0000 0.7470 0.6719
As2 0.0000 0.2530 0.3281

***

2.
Density functional theory data (GGA-PBEsol) for a geometry-optimized Cr2FeH2 structure.

Summary:
M_tot: 0.0 μB/cell
E_tot: -7.146 eV per atom

Cell lengths 2.6076, 2.6076, 5.7674 Å; angles 103.07, 103.07, 90.00 degrees
Atoms (fractional coordinates):
H1 0.2500 0.7500 0.5000
Fe1 0.0000 0.0000 0.0000
Cr1 0.3555 0.3555 0.7110
Cr2 0.6445 0.6445 0.2890
H2 0.7500 0.2500 0.5000

***

3.
Density functional theory data (GGA-PBEsol) for a geometry-optimized HfAuI2O structure.

Summary:
M_tot: 0.4 μB/cell
Formation energy without anion corrections: 46 kJ/mol of atoms

Cell lengths 3.8201, 5.6415, 5.6415 Å; angles 90.00, 90.00, 90.00 degrees
Atoms (fractional coordinates):
Au1 0.0000 0.0000 0.0000
I1 0.0000 0.0000 0.5000
Hf1 0.5000 0.5000 0.5000
I2 0.0000 0.5000 0.0000
O1 0.5000 0.0000 0.0000

***

> Look up the M_tot of the third one.

0.4 μB/cell